Sr4CaOs after structural relaxation, computed with PBE.

Cell lengths 6.850, 6.850, 6.850 Å; angles 60.00, 60.00, 60.00 degrees
Atoms (fractional coordinates):
Sr 0.881 0.373 0.373
Sr 0.373 0.373 0.881
Sr 0.373 0.881 0.373
Sr 0.373 0.373 0.373
Ca 0.750 0.750 0.750
Os 0.000 0.000 0.000

ΔE_f: 1128 meV/atom
Symmetry: F-43m
D(E_F): 1.48 states/eV/atom